DFT (PBE+U) results for a relaxed LaCrIO4 crystal.

a b c (Å): 6.750 6.750 6.879
angles (deg): 80.23 80.23 64.94
Element x y z (fractional)
La1 0.266 0.266 0.853
La2 0.734 0.734 0.147
Cr1 0.634 0.634 0.737
Cr2 0.366 0.366 0.263
I1 0.015 0.015 0.250
I2 0.985 0.985 0.750
O1 0.297 0.297 0.501
O2 0.703 0.703 0.499
O3 0.135 0.498 0.138
O4 0.514 0.514 0.232
O5 0.502 0.865 0.862
O6 0.498 0.135 0.138
O7 0.486 0.486 0.768
O8 0.865 0.502 0.862

Summary:
As for the space group: C2/m, No. 12. Its crystal system is monoclinic. For the total energy, the calculation gives -6.72 eV/atom.